No. 1
Density functional theory data (PBE-GGA) for a relaxed Er5TmTh4 crystal.

```
Er5TmTh4
1.0
8.458 -1.732 0.000
8.458 1.732 0.000
-3.928 0.000 10.826
Er Tm Th
5 1 4
direct
0.000 0.000 0.000
0.290 0.290 0.885
0.308 0.308 0.416
0.692 0.692 0.584
0.710 0.710 0.115
0.000 0.000 0.500
0.098 0.098 0.294
0.411 0.411 0.207
0.589 0.589 0.793
0.902 0.902 0.706
```

Results
Its raw total energy is -55.9 eV per cell. The value obtained for the volume is 317.2 Å³/f.u. Its formation energy from the elements is 0.107 eV/atom.

=====

No. 2
Density functional theory data (PBE-GGA) for a relaxed Si3H12F crystal.

```
Si3H12F
1.0
4.144 2.393 8.146
-4.144 2.393 8.146
0.000 -4.785 8.146
Si H F
6 24 2
direct
0.033 0.483 0.484
0.483 0.484 0.033
0.484 0.033 0.483
0.533 0.984 0.983
0.983 0.533 0.984
0.984 0.983 0.533
0.002 0.834 0.504
0.004 0.334 0.501
0.062 0.650 0.294
0.092 0.096 0.312
0.096 0.312 0.092
0.109 0.427 0.618
0.118 0.927 0.609
0.150 0.562 0.794
0.294 0.062 0.650
0.312 0.092 0.096
0.334 0.501 0.004
0.427 0.618 0.109
0.501 0.004 0.334
0.504 0.002 0.834
0.562 0.794 0.150
0.592 0.812 0.596
0.596 0.592 0.812
0.609 0.118 0.927
0.618 0.109 0.427
0.650 0.294 0.062
0.794 0.150 0.562
0.812 0.596 0.592
0.834 0.504 0.002
0.927 0.609 0.118
0.333 0.333 0.333
0.833 0.833 0.833
```

Results
Its raw total energy is -117.9 eV per cell. The value obtained for the volume is 242.3 Å³/f.u.

=====

No. 3
Density functional theory data (PBE-GGA) for a relaxed AlGa3Hg crystal.

```
AlGa3Hg
1.0
5.190 0.000 0.000
0.000 5.190 0.000
0.000 0.000 5.190
Al Ga Hg
1 3 1
direct
0.000 0.000 0.000
0.000 0.500 0.500
0.500 0.000 0.500
0.500 0.500 0.000
0.500 0.500 0.500
```

Results
Its raw total energy is -10.0 eV per cell. The value obtained for the volume is 139.8 Å³/f.u. Its formation energy from the elements is 0.633 eV/atom.

=====

No. 4
Density functional theory data (PBE-GGA) for a relaxed CaOs2Se crystal.

```
CaOs2Se
1.0
5.241 0.000 0.000
0.000 8.906 0.000
0.000 0.000 3.045
Ca Os Se
2 4 2
direct
0.000 0.000 0.000
0.500 0.500 0.000
0.250 0.250 0.500
0.250 0.750 0.500
0.750 0.250 0.500
0.750 0.750 0.500
0.000 0.500 0.000
0.500 0.000 0.000
```

Results
Its raw total energy is -49.8 eV per cell. The value obtained for the volume is 71.1 Å³/f.u. The uncorrected formation energy comes out at 0.759 eV/atom.

=====

No. 5
Density functional theory data (PBE-GGA) for a relaxed OsSeS2 crystal.

```
OsSeS2
1.0
6.298 0.000 0.000
0.000 6.298 0.000
0.000 0.000 8.470
Os Se S
4 4 8
direct
0.000 0.000 0.000
0.000 0.500 0.250
0.500 0.000 0.750
0.500 0.500 0.500
0.000 0.000 0.500
0.000 0.500 0.750
0.500 0.000 0.250
0.500 0.500 0.000
0.186 0.250 0.125
0.250 0.686 0.375
0.250 0.814 0.875
0.314 0.250 0.625
0.686 0.750 0.625
0.750 0.186 0.875
0.750 0.314 0.375
0.814 0.750 0.125
```

Results
Its raw total energy is -85.8 eV per cell. The value obtained for the volume is 84.0 Å³/f.u. The uncorrected formation energy comes out at 0.379 eV/atom.

=====

No. 6
Density functional theory data (PBE-GGA) for a relaxed Pm2Nd3Sm3 crystal.

```
Pm2Nd3Sm3
1.0
16.528 0.000 0.000
0.000 5.905 0.000
-2.239 0.000 5.688
Pm Nd Sm
4 6 6
direct
0.250 0.000 0.183
0.250 0.500 0.817
0.750 0.000 0.817
0.750 0.500 0.183
0.000 0.500 0.500
0.133 0.500 0.189
0.367 0.000 0.811
0.500 0.000 0.500
0.633 0.000 0.189
0.867 0.500 0.811
0.000 0.000 0.000
0.131 0.000 0.579
0.369 0.500 0.421
0.500 0.500 0.000
0.631 0.500 0.579
0.869 0.000 0.421
```

Results
Its raw total energy is -74.6 eV per cell. The value obtained for the volume is 277.6 Å³/f.u. Its formation energy from the elements is 0.082 eV/atom.

=====

> Look up the volume of the fifth one.

84.0 Å³/f.u.

=====

Please write out number 2 again, unchanged.
Density functional theory data (PBE-GGA) for a relaxed Si3H12F crystal.

```
Si3H12F
1.0
4.144 2.393 8.146
-4.144 2.393 8.146
0.000 -4.785 8.146
Si H F
6 24 2
direct
0.033 0.483 0.484
0.483 0.484 0.033
0.484 0.033 0.483
0.533 0.984 0.983
0.983 0.533 0.984
0.984 0.983 0.533
0.002 0.834 0.504
0.004 0.334 0.501
0.062 0.650 0.294
0.092 0.096 0.312
0.096 0.312 0.092
0.109 0.427 0.618
0.118 0.927 0.609
0.150 0.562 0.794
0.294 0.062 0.650
0.312 0.092 0.096
0.334 0.501 0.004
0.427 0.618 0.109
0.501 0.004 0.334
0.504 0.002 0.834
0.562 0.794 0.150
0.592 0.812 0.596
0.596 0.592 0.812
0.609 0.118 0.927
0.618 0.109 0.427
0.650 0.294 0.062
0.794 0.150 0.562
0.812 0.596 0.592
0.834 0.504 0.002
0.927 0.609 0.118
0.333 0.333 0.333
0.833 0.833 0.833
```

Results
Its raw total energy is -117.9 eV per cell. The value obtained for the volume is 242.3 Å³/f.u.